(1)
This record from the Alexandria database describes a relaxed structure of Ti12Tl3Re5. The functional is GGA-PBE.

The value obtained for the calculated formation energy is 0.856 eV/atom.

The structure belongs to space group Ia-3d (No. 230); the cell edges are 15.223, 15.223 and 15.223 Å and the angles 90.00°, 90.00° and 90.00°. The distinct sites, in fractional coordinates, are Ti at (0.025, 0.063, 0.646), Tl at (0.000, 0.250, 0.125), Re at (0.000, 0.000, 0.000) and Re at (0.000, 0.250, 0.375).

(2)
This record from the Alexandria database describes a relaxed structure of Na2MgTl2. The functional is GGA-PBE.

The value obtained for the calculated formation energy is -0.086 eV/atom.

The structure belongs to space group C2/c (No. 15); the cell edges are 8.951, 5.287 and 11.882 Å and the angles 90.00°, 104.60° and 90.00°. The distinct sites, in fractional coordinates, are Na at (0.102, 0.248, 0.056), Mg at (0.000, 0.254, 0.750) and Tl at (0.199, 0.247, 0.344).

(3)
This record from the Alexandria database describes a relaxed structure of U3Tl3TeSe8. The functional is GGA-PBE.

The uncorrected formation energy comes out at -10.5 eV/f.u.

The structure belongs to space group C2/m (No. 12); the cell edges are 14.187, 8.488 and 9.098 Å and the angles 90.00°, 120.75° and 90.00°. The distinct sites, in fractional coordinates, are U at (0.000, 0.000, 0.000), U at (0.250, 0.250, 0.000), Tl at (0.000, 0.500, 0.500), Tl at (0.250, 0.250, 0.500), Te at (0.000, 0.500, 0.000), Se at (0.021, 0.218, 0.782), Se at (0.233, 0.500, 0.201) and Se at (0.237, 0.000, 0.207).

(4)
This record from the Alexandria database describes a relaxed structure of CoHg3B. The functional is GGA-PBE.

The value obtained for the calculated formation energy is 1.297 eV/atom.

The structure belongs to space group Pm-3m (No. 221); the cell edges are 5.001, 5.001 and 5.001 Å and the angles 90.00°, 90.00° and 90.00°. The distinct sites, in fractional coordinates, are Co at (0.000, 0.000, 0.000), Hg at (0.000, 0.000, 0.500) and B at (0.500, 0.500, 0.500).

(5)
This record from the Alexandria database describes a relaxed structure of Sm2AgIr. The functional is GGA-PBE.

The value obtained for the calculated formation energy is -0.494 eV/atom.

The structure belongs to space group Fm-3m (No. 225); the cell edges are 7.180, 7.180 and 7.180 Å and the angles 90.00°, 90.00° and 90.00°. The distinct sites, in fractional coordinates, are Sm at (0.250, 0.250, 0.250), Ag at (0.000, 0.000, 0.000) and Ir at (0.000, 0.000, 0.500).

(6)
This record from the Alexandria database describes a relaxed structure of Ti2InBMo. The functional is GGA-PBE.

The value obtained for the calculated formation energy is -0.227 eV/atom.

The structure belongs to space group P4/mmm (No. 123); the cell edges are 4.350, 4.350 and 4.216 Å and the angles 90.00°, 90.00° and 90.00°. The distinct sites, in fractional coordinates, are Ti at (0.000, 0.500, 0.000), In at (0.000, 0.000, 0.500), B at (0.500, 0.500, 0.000) and Mo at (0.500, 0.500, 0.500).

(7)
This record from the Alexandria database describes a relaxed structure of Pm4Sb5H. The functional is GGA-PBE.

The total energy comes out at -4.84 eV/atom.

The structure belongs to space group C2/m (No. 12); the cell edges are 17.209, 4.392 and 8.137 Å and the angles 90.00°, 108.47° and 90.00°. The distinct sites, in fractional coordinates, are Pm at (0.044, 0.000, 0.257), Pm at (0.145, 0.500, 0.950), Sb at (0.000, 0.500, 0.500), Sb at (0.144, 0.000, 0.655), Sb at (0.216, 0.000, 0.232) and H at (0.000, 0.500, 0.000).

(8)
This record from the Alexandria database describes a relaxed structure of Li12SmAu6. The functional is GGA-PBE.

The value obtained for the calculated formation energy is -0.358 eV/atom.

The structure belongs to space group R-3m (No. 166, hexagonal axes); the cell edges are 11.2574, 11.2574 and 9.7035 Å and the angles 90.00°, 90.00° and 120.00°. The distinct sites, in fractional coordinates, are Li at (0.0000, 0.3903, 0.0000), Li at (0.0922, 0.1845, 0.8585), Sm at (0.0000, 0.0000, 0.5000) and Au at (0.0064, 0.5032, 0.2338).

Calculated calculated volume, 22.05 27.21 31.39 25.02 23.13 15.95 29.17 18.68 A^3/atom (same order as the records).
Calculated size of the total moment, 0.001 0.000 0.479 0.196 0.000 0.000 0.000 0.000 μB per atom (same order as the records).